No. 1
Density functional theory data (meta-GGA SCAN) for a PBEsol-optimized structure of LaBe.

Structure (POSCAR):
```
LaBe
1.0
3.516 0.000 0.000
-1.758 3.045 0.000
0.000 0.000 4.433
Be La
1 1
Direct
0.000 0.000 0.000 Be
0.333 0.667 0.500 La
```

Summary:
The calculation puts the offset from the most stable computed form at 0.175 eV per atom. Its space group is P-6m2. The calculation puts the density at 5.176 Mg/m³. The value obtained for the formation energy is 0.578 eV per atom.

---

No. 2
Density functional theory data (meta-GGA SCAN) for a PBEsol-optimized structure of Rb3TiBr.

Structure (POSCAR):
```
Rb3TiBr
1.0
-3.042 5.110 2.609
0.958 -2.459 5.934
5.657 3.164 0.398
Rb Br Ti
3 1 1
Direct
0.000 0.000 0.500 Rb
0.500 0.000 0.000 Rb
0.000 0.500 0.000 Rb
0.000 0.000 0.000 Br
0.500 0.500 0.500 Ti
```

Summary:
Its space group is Pm-3m. The calculation puts the density at 2.329 Mg/m³. For the electronic total energy, the calculation gives -19.649 eV per atom.

---

No. 3
Density functional theory data (meta-GGA SCAN) for a PBEsol-optimized structure of InAgSeN2.

Structure (POSCAR):
```
InAgSeN2
1.0
4.152 0.000 0.000
0.000 4.152 0.000
0.000 0.000 5.620
Ag N Se In
1 2 1 1
Direct
0.500 0.500 0.500 Ag
0.500 0.000 0.000 N
0.000 0.500 0.000 N
0.000 0.000 0.500 Se
0.000 0.000 0.000 In
```

Summary:
Its space group is P4/mmm. The calculation puts the density at 5.650 Mg/m³. For the electronic total energy, the calculation gives -19.435 eV per atom.

---

No. 4
Density functional theory data (meta-GGA SCAN) for a PBEsol-optimized structure of MgSc2TiC.

Structure (POSCAR):
```
MgSc2TiC
1.0
4.699 0.000 0.000
0.000 4.699 0.000
0.000 0.000 5.013
Sc Ti C Mg
2 1 1 1
Direct
0.500 0.000 0.000 Sc
0.000 0.500 0.000 Sc
0.000 0.000 0.000 Ti
0.500 0.500 0.500 C
0.000 0.000 0.500 Mg
```

Summary:
Its space group is P4/mmm. The calculation puts the density at 2.611 Mg/m³. The value obtained for the formation energy is 2.010 eV per atom.

---

No. 5
Density functional theory data (meta-GGA SCAN) for a PBEsol-optimized structure of Zr2MnFe.

Structure (POSCAR):
```
Zr2MnFe
1.0
3.128 0.000 0.000
0.000 3.128 0.000
0.000 0.000 6.265
Zr Mn Fe
2 1 1
Direct
0.000 0.000 0.250 Zr
0.000 0.000 0.750 Zr
0.500 0.500 0.500 Mn
0.500 0.500 0.000 Fe
```

Summary:
The calculation puts the offset from the most stable computed form at 0.008 eV per atom. Its space group is P4/mmm. The calculation puts the density at 7.943 Mg/m³. The value obtained for the formation energy is -0.100 eV per atom.

---

No. 6
Density functional theory data (meta-GGA SCAN) for a PBEsol-optimized structure of TiAs2PtBr.

Structure (POSCAR):
```
TiAs2PtBr
1.0
-0.221 -0.669 4.583
3.401 -3.468 -0.342
3.477 3.346 0.656
As Pt Ti Br
2 1 1 1
Direct
0.000 0.000 0.500 As
0.000 0.500 0.000 As
0.500 0.500 0.500 Pt
0.000 0.000 0.000 Ti
0.500 0.000 0.000 Br
```

Summary:
Its space group is P4/mmm. The calculation puts the density at 7.138 Mg/m³. For the electronic total energy, the calculation gives -28.678 eV per atom.

---

No. 7
Density functional theory data (meta-GGA SCAN) for a PBEsol-optimized structure of Al4CoOs.

Structure (POSCAR):
```
Al4CoOs
1.0
4.869 0.000 0.000
2.435 4.217 0.000
2.435 1.406 3.976
Os Al Co
1 4 1
Direct
0.000 0.000 0.000 Os
0.625 0.125 0.625 Al
0.625 0.625 0.625 Al
0.125 0.625 0.625 Al
0.625 0.625 0.125 Al
0.250 0.250 0.250 Co
```

Summary:
Its space group is F-43m. The calculation puts the density at 7.264 Mg/m³. The value obtained for the formation energy is 0.157 eV per atom.

---

No. 8
Density functional theory data (meta-GGA SCAN) for a PBEsol-optimized structure of TcPt5.

Structure (POSCAR):
```
TcPt5
1.0
-1.007 -2.496 -0.456
3.671 -1.839 1.958
-2.795 1.421 6.576
Pt Tc
5 1
Direct
0.553 0.500 0.106 Pt
0.997 0.000 0.994 Pt
0.229 0.500 0.458 Pt
0.664 0.000 0.328 Pt
0.333 0.000 0.665 Pt
0.891 0.500 0.781 Tc
```

Summary:
The calculation puts the offset from the most stable computed form at 0.105 eV per atom. Its space group is Amm2. The calculation puts the density at 20.060 Mg/m³. The value obtained for the formation energy is 0.001 eV per atom.

---

No. 9
Density functional theory data (meta-GGA SCAN) for a PBEsol-optimized structure of Tl2HgSb.

Structure (POSCAR):
```
Tl2HgSb
1.0
-0.386 0.041 -3.360
-1.371 -4.112 0.108
-6.954 2.341 0.828
Tl Sb Hg
2 1 1
Direct
0.000 0.000 0.985 Tl
0.500 0.500 0.272 Tl
0.500 0.500 0.735 Sb
0.000 0.000 0.508 Hg
```

Summary:
The calculation puts the offset from the most stable computed form at 0.043 eV per atom. Its space group is Pmm2. The calculation puts the density at 11.209 Mg/m³.

---

No. 10
Density functional theory data (meta-GGA SCAN) for a PBEsol-optimized structure of BeHF2.

Structure (POSCAR):
```
BeHF2
1.0
-1.490 0.431 2.982
-3.354 0.025 0.214
-1.610 -2.564 1.460
F Be H
2 1 1
Direct
0.250 0.250 0.250 F
0.750 0.750 0.750 F
0.500 0.500 0.500 Be
0.000 0.000 0.000 H
```

Summary:
The calculation puts the offset from the most stable computed form at 0.457 eV per atom. Its space group is Fm-3m. The calculation puts the density at 2.970 Mg/m³.

---

No. 11
Density functional theory data (meta-GGA SCAN) for a PBEsol-optimized structure of K2BaSr.

Structure (POSCAR):
```
K2BaSr
1.0
4.240 0.016 0.000
-1.647 3.907 0.000
0.000 0.000 14.716
K Ba Sr
2 1 1
Direct
0.500 0.500 0.741 K
0.000 0.000 0.006 K
0.500 0.500 0.262 Ba
0.000 0.000 0.491 Sr
```

Summary:
Its space group is Cmm2. The calculation puts the density at 2.062 Mg/m³. The value obtained for the formation energy is 0.055 eV per atom.

---

No. 12
Density functional theory data (meta-GGA SCAN) for a PBEsol-optimized structure of Cr2CuAs.

Structure (POSCAR):
```
Cr2CuAs
1.0
-1.699 -1.797 1.853
-0.493 -2.616 -2.988
4.299 0.328 1.684
Cu Cr As
1 2 1
Direct
0.506 0.506 0.011 Cu
0.004 0.004 0.007 Cr
0.739 0.239 0.477 Cr
0.252 0.752 0.504 As
```

Summary:
Its space group is Imm2. The calculation puts the density at 8.397 Mg/m³. The value obtained for the formation energy is 0.106 eV per atom.

---

No. 13
Density functional theory data (meta-GGA SCAN) for a PBEsol-optimized structure of MgMnAs2O7.

Structure (POSCAR):
```
MgMnAs2O7
1.0
7.250 0.000 0.224
0.000 8.685 0.000
-3.015 0.000 8.440
O As Mn Mg
28 8 4 4
Direct
0.911 0.906 0.377 O
0.660 0.411 0.627 O
0.840 0.911 0.873 O
0.089 0.094 0.623 O
0.441 0.253 0.781 O
0.160 0.089 0.127 O
0.059 0.753 0.719 O
0.855 0.699 0.112 O
0.188 0.750 0.042 O
0.941 0.247 0.281 O
0.355 0.918 0.350 O
0.355 0.801 0.612 O
0.855 0.582 0.850 O
0.812 0.250 0.958 O
0.340 0.589 0.373 O
0.688 0.750 0.542 O
0.145 0.301 0.888 O
0.101 0.419 0.607 O
0.645 0.082 0.650 O
0.559 0.747 0.219 O
0.899 0.581 0.393 O
0.601 0.081 0.107 O
0.312 0.250 0.458 O
0.645 0.199 0.388 O
0.399 0.919 0.893 O
0.411 0.594 0.877 O
0.145 0.418 0.150 O
0.589 0.406 0.123 O
0.443 0.756 0.455 As
0.057 0.256 0.045 As
0.943 0.744 0.955 As
0.193 0.259 0.713 As
0.557 0.244 0.545 As
0.693 0.241 0.213 As
0.807 0.741 0.287 As
0.307 0.759 0.787 As
0.631 0.444 0.874 Mn
0.131 0.056 0.374 Mn
0.369 0.556 0.126 Mn
0.869 0.944 0.626 Mn
0.122 0.438 0.378 Mg
0.622 0.062 0.878 Mg
0.378 0.938 0.122 Mg
0.878 0.562 0.622 Mg
```

Summary:
Its space group is P2_1/c. The calculation puts the density at 4.216 Mg/m³. For the electronic total energy, the calculation gives -11.610 eV per atom.

---

No. 14
Density functional theory data (meta-GGA SCAN) for a PBEsol-optimized structure of SmInCu.

Structure (POSCAR):
```
SmInCu
1.0
-0.065 3.472 1.921
-4.180 -3.032 5.338
7.405 -0.160 0.542
Cu Sm In
3 3 3
Direct
0.000 0.000 0.000 Cu
0.500 0.667 0.333 Cu
0.500 0.333 0.667 Cu
0.000 0.000 0.413 Sm
0.000 0.587 0.587 Sm
0.000 0.413 0.000 Sm
0.500 0.749 0.000 In
0.500 0.000 0.749 In
0.500 0.251 0.251 In
```

Summary:
Its space group is P-62m. The calculation puts the density at 8.639 Mg/m³. The value obtained for the formation energy is -0.512 eV per atom.

---

No. 15
Density functional theory data (meta-GGA SCAN) for a PBEsol-optimized structure of BaHfS3.

Structure (POSCAR):
```
BaHfS3
1.0
-0.765 4.114 -3.420
-4.111 1.759 3.035
3.423 3.032 2.881
S Ba Hf
3 1 1
Direct
0.000 0.500 0.000 S
0.500 0.000 0.000 S
0.000 0.000 0.500 S
0.000 0.000 0.000 Ba
0.500 0.500 0.500 Hf
```

Summary:
Its space group is Pm-3m. The calculation puts the density at 4.334 Mg/m³. For the electronic total energy, the calculation gives -25.456 eV per atom.

---

No. 16
Density functional theory data (meta-GGA SCAN) for a PBEsol-optimized structure of ZrTcPd2Pt.

Structure (POSCAR):
```
ZrTcPd2Pt
1.0
4.644 0.000 0.000
0.000 4.644 0.000
0.000 0.000 4.692
Tc Pd Zr Pt
1 2 1 1
Direct
0.000 0.000 0.000 Tc
0.000 0.500 0.000 Pd
0.500 0.000 0.000 Pd
0.500 0.500 0.500 Zr
0.000 0.000 0.500 Pt
```

Summary:
Its space group is P4/mmm. The calculation puts the density at 9.798 Mg/m³. The value obtained for the formation energy is 0.803 eV per atom.

---

No. 17
Density functional theory data (meta-GGA SCAN) for a PBEsol-optimized structure of Ba2CrSe.

Structure (POSCAR):
```
Ba2CrSe
1.0
3.939 0.000 0.000
0.000 3.939 0.000
0.000 0.000 9.151
Cr Ba Se
1 2 1
Direct
0.000 0.000 0.560 Cr
0.500 0.500 0.338 Ba
0.000 0.000 0.905 Ba
0.500 0.500 0.697 Se
```

Summary:
Its space group is P4mm. The calculation puts the density at 4.742 Mg/m³. For the electronic total energy, the calculation gives -29.849 eV per atom.

---

No. 18
Density functional theory data (meta-GGA SCAN) for a PBEsol-optimized structure of ReHg2Pb.

Structure (POSCAR):
```
ReHg2Pb
1.0
-2.302 1.461 1.068
-0.589 -2.723 -0.902
2.272 -3.868 10.191
Re Pb Hg
1 1 2
Direct
0.500 0.500 0.243 Re
0.000 0.000 0.461 Pb
0.500 0.500 0.769 Hg
0.000 0.000 0.027 Hg
```

Summary:
Its space group is Cmm2. The calculation puts the density at 15.216 Mg/m³. The value obtained for the formation energy is 0.768 eV per atom.

---

No. 19
Density functional theory data (meta-GGA SCAN) for a PBEsol-optimized structure of ScTc2Se.

Structure (POSCAR):
```
ScTc2Se
1.0
3.114 0.000 0.000
0.000 3.114 0.000
0.000 0.000 6.344
Tc Se Sc
2 1 1
Direct
0.000 0.000 0.273 Tc
0.000 0.000 0.727 Tc
0.500 0.500 0.500 Se
0.500 0.500 0.000 Sc
```

Summary:
Its space group is P4/mmm. The calculation puts the density at 8.634 Mg/m³. For the electronic total energy, the calculation gives -26.106 eV per atom.

---

No. 20
Density functional theory data (meta-GGA SCAN) for a PBEsol-optimized structure of SiTe2AuBr.

Structure (POSCAR):
```
SiTe2AuBr
1.0
4.917 0.000 0.000
0.000 5.409 0.000
0.000 0.000 5.409
Te Au Br Si
2 1 1 1
Direct
0.000 0.500 0.000 Te
0.000 0.000 0.500 Te
0.500 0.500 0.500 Au
0.000 0.000 0.000 Br
0.500 0.000 0.000 Si
```

Summary:
Its space group is P4/mmm. The calculation puts the density at 6.465 Mg/m³. For the electronic total energy, the calculation gives -33.268 eV per atom.